# 1
! HfAl3Zn | Alexandria | PBE-GGA | relaxed; values from VASP
&SYSTEM
  ibrav = 0, nat = 5, ntyp = 3
/
ATOMIC_SPECIES
Hf 178.49 Hf.upf
Al 26.98 Al.upf
Zn 65.41 Zn.upf
CELL_PARAMETERS angstrom
4.632 0.000 0.000
0.000 4.632 0.000
0.000 0.000 4.632
ATOMIC_POSITIONS crystal
Hf 0.500 0.500 0.500
Al 0.000 0.000 0.500
Al 0.500 0.000 0.000
Zn 0.000 0.000 0.000
Al 0.000 0.500 0.000
! V in Å³ per cell: 99.4
! Magnetization in μB per atom: 0.000
! Formation enthalpy at 0 K in meV/atom: 562
! ΔE to the lowest computed polymorph in meV/atom: 637

***

# 2
! NbCoCuB2 | Alexandria | PBE-GGA | relaxed; values from VASP
&SYSTEM
  ibrav = 0, nat = 5, ntyp = 4
/
ATOMIC_SPECIES
Co 58.93 Co.upf
B 10.81 B.upf
Cu 63.55 Cu.upf
Nb 92.91 Nb.upf
CELL_PARAMETERS angstrom
-2.271 1.015 -2.836
3.409 -0.762 -3.003
-1.130 -3.580 -0.375
ATOMIC_POSITIONS crystal
Co 0.000 0.000 0.000
B 0.500 0.000 0.000
Cu 0.500 0.500 0.500
B 0.000 0.000 0.500
Nb 0.000 0.500 0.000
! V in Å³ per cell: 65.6
! Magnetization in μB per atom: 0.000
! Formation enthalpy at 0 K in meV/atom: 807